Record 1
Mg2TlTe | PBE | optimized geometry

a b c (Å): 4.169 4.097 6.362
angles (deg): 90.00 98.81 90.00
Positions (direct):
Mg 0.000 0.000 0.000
Mg 0.456 0.500 0.376
Tl 0.983 0.000 0.503
Te 0.483 0.500 0.914

Results
**ΔE_f (raw)**: -0.234 eV/atom



Record 2
Tm4SiGeSe2 | PBE | optimized geometry

a b c (Å): 7.030 4.068 7.097
angles (deg): 90.00 109.28 90.00
Positions (direct):
Tm 0.243 0.000 0.234
Tm 0.254 0.500 0.765
Tm 0.746 0.500 0.235
Tm 0.757 0.000 0.766
Si 0.000 0.500 0.000
Ge 0.500 0.000 0.000
Se 0.000 0.000 0.500
Se 0.500 0.500 0.500

Results
**ΔE_f (raw)**: -1.303 eV/atom



Record 3
PrVCl2 | PBE | optimized geometry

a b c (Å): 8.958 8.958 8.958
angles (deg): 23.70 23.70 23.70
Positions (direct):
Pr 0.000 0.000 0.000
V 0.500 0.500 0.500
Cl 0.115 0.115 0.115
Cl 0.885 0.885 0.885

Results
**ΔE_f (raw)**: -0.630 eV/atom



Record 4
AcSn2Pd3 | PBE | optimized geometry

a b c (Å): 9.192 9.192 10.685
angles (deg): 107.59 107.59 28.05
Positions (direct):
Ac 0.000 0.000 0.000
Ac 0.157 0.157 0.699
Ac 0.843 0.843 0.301
Sn 0.199 0.199 0.122
Sn 0.359 0.359 0.553
Sn 0.471 0.471 0.228
Sn 0.529 0.529 0.772
Sn 0.641 0.641 0.447
Sn 0.801 0.801 0.878
Pd 0.046 0.046 0.347
Pd 0.214 0.214 0.384
Pd 0.327 0.327 0.041
Pd 0.376 0.376 0.810
Pd 0.500 0.500 0.500
Pd 0.624 0.624 0.190
Pd 0.673 0.673 0.959
Pd 0.786 0.786 0.616
Pd 0.954 0.954 0.653

Results
**ΔE_f**: -735 meV/atom



Record 5
CrCoSe2 | PBE | optimized geometry

a b c (Å): 3.819 3.820 6.286
angles (deg): 90.00 92.78 90.00
Positions (direct):
Cr 0.000 0.000 0.000
Co 0.500 0.500 0.000
Se 0.018 0.500 0.228
Se 0.482 0.000 0.772

Results
**ΔE_f (raw)**: -0.385 eV/atom



Record 6
PmPuHS2 | PBE | optimized geometry

a b c (Å): 3.984 3.984 11.901
angles (deg): 90.00 90.00 90.00
Positions (direct):
Pm 0.250 0.250 0.117
Pm 0.750 0.750 0.883
Pu 0.250 0.250 0.602
Pu 0.750 0.750 0.398
H 0.250 0.750 0.500
H 0.750 0.250 0.500
S 0.250 0.250 0.347
S 0.250 0.250 0.871
S 0.750 0.750 0.129
S 0.750 0.750 0.653

Results
**Calculated total energy**: -7.653 eV/atom